(1)
Compound: CsNaAsH
Source: Alexandria
Functional: PBE
Structure: relaxed

Summary:
For the total energy, the calculation gives -2.8947 eV per atom. The total magnetization is 0.00 μB per formula unit.

```
data_CsNaAsH
_chemical_formula_sum 'Cs1 Na1 As1 H1'
_symmetry_space_group_name_H-M 'P 3 m 1'
_symmetry_Int_Tables_number 156
_cell_length_a 5.2644
_cell_length_b 5.2644
_cell_length_c 4.9746
_cell_angle_alpha 90.00
_cell_angle_beta 90.00
_cell_angle_gamma 120.00
loop_
_symmetry_equiv_pos_as_xyz
'x,y,z'
'-y,x-y,z'
'-x+y,-x,z'
'-y,-x,z'
'-x+y,y,z'
'x,x-y,z'
loop_
_atom_site_label
_atom_site_fract_x
_atom_site_fract_y
_atom_site_fract_z
Cs1 0.0000 0.0000 0.0000
Na1 0.3333 0.6667 0.4957
As1 0.6667 0.3333 0.4905
H1 0.6667 0.3333 0.8049
```


(2)
Compound: CsAsH2O4
Source: Alexandria
Functional: PBE
Structure: relaxed

Summary:
The total magnetization is 0.00 μB per formula unit. The value obtained for the energy above the lowest structure with this stoichiometry is 0.1400 eV per atom. The value obtained for the density of states at the Fermi level is 0.00 states/eV/cell.

```
data_CsAsH2O4
_chemical_formula_sum 'Cs2 As2 H4 O8'
_symmetry_space_group_name_H-M 'I 2 2 2'
_symmetry_Int_Tables_number 23
_cell_length_a 4.149
_cell_length_b 7.389
_cell_length_c 8.057
_cell_angle_alpha 90.00
_cell_angle_beta 90.00
_cell_angle_gamma 90.00
loop_
_symmetry_equiv_pos_as_xyz
'x,y,z'
'-x,-y,z'
'x,-y,-z'
'-x,y,-z'
'x+1/2,y+1/2,z+1/2'
'-x+1/2,-y+1/2,z+1/2'
'x+1/2,-y+1/2,-z+1/2'
'-x+1/2,y+1/2,-z+1/2'
loop_
_atom_site_label
_atom_site_fract_x
_atom_site_fract_y
_atom_site_fract_z
Cs1 0.000 0.000 0.000
As1 0.000 0.000 0.500
H1 0.000 0.500 0.134
O1 0.233 0.392 0.866
```


(3)
Compound: CsAsH2O4
Source: Alexandria
Functional: PBE
Structure: relaxed

Summary:
The total magnetization is 0.02 μB per formula unit. The value obtained for the energy above the lowest structure with this stoichiometry is 0.0000 eV per atom. The value obtained for the density of states at the Fermi level is 0.00 states/eV/cell.

```
data_CsAsH2O4
_chemical_formula_sum 'Cs8 As8 H16 O32'
_symmetry_space_group_name_H-M 'F d d 2'
_symmetry_Int_Tables_number 43
_symmetry_space_group_name_Hall 'F 2 -2d'
_cell_length_a 11.347
_cell_length_b 11.781
_cell_length_c 8.005
_cell_angle_alpha 90.00
_cell_angle_beta 90.00
_cell_angle_gamma 90.00
loop_
_atom_site_label
_atom_site_fract_x
_atom_site_fract_y
_atom_site_fract_z
Cs1 0.000 0.000 0.000
As1 0.000 0.000 0.518
H1 0.071 0.206 0.634
O1 0.025 0.381 0.132
O2 0.120 0.025 0.382
```


(4)
Compound: Cs2AsHPb
Source: Alexandria
Functional: PBE
Structure: relaxed

Summary:
For the total energy, the calculation gives -2.5647 eV per atom. The total magnetization is 0.00 μB per formula unit. The value obtained for the density of states at the Fermi level is 2.64 states/eV/cell.

```
data_Cs2AsHPb
_chemical_formula_sum 'Cs2 As1 H1 Pb1'
_symmetry_space_group_name_H-M 'P 4/m m m'
_symmetry_Int_Tables_number 123
_symmetry_space_group_name_Hall '-P 4 2'
_cell_length_a 6.924
_cell_length_b 6.924
_cell_length_c 3.619
_cell_angle_alpha 90.00
_cell_angle_beta 90.00
_cell_angle_gamma 90.00
loop_
_atom_site_label
_atom_site_fract_x
_atom_site_fract_y
_atom_site_fract_z
Cs1 0.000 0.500 0.000
As1 0.000 0.000 0.500
H1 0.000 0.000 0.000
Pb1 0.500 0.500 0.500
```


(5)
Compound: CsRbAsH
Source: Alexandria
Functional: PBE
Structure: relaxed

Summary:
For the total energy, the calculation gives -2.7492 eV per atom. The total magnetization is 0.00 μB per formula unit.

```
data_CsRbAsH
_chemical_formula_sum 'Cs2 Rb2 As2 H2'
_symmetry_space_group_name_H-M 'C 1 m 1'
_symmetry_Int_Tables_number 8
_cell_length_a 10.362
_cell_length_b 5.662
_cell_length_c 5.074
_cell_angle_alpha 90.00
_cell_angle_beta 94.81
_cell_angle_gamma 90.00
loop_
_symmetry_equiv_pos_as_xyz
'x,y,z'
'x,-y,z'
'x+1/2,y+1/2,z'
'x+1/2,-y+1/2,z'
loop_
_atom_site_label
_atom_site_fract_x
_atom_site_fract_y
_atom_site_fract_z
Cs1 0.000 0.000 0.000
Rb1 0.178 0.500 0.536
As1 0.341 0.000 0.321
H1 0.339 0.000 0.011
```


(6)
Compound: Cs2ReAsH
Source: Alexandria
Functional: PBE
Structure: relaxed

Summary:
For the total energy, the calculation gives -3.6274 eV per atom. The total magnetization is 0.16 μB per formula unit. The value obtained for the density of states at the Fermi level is 4.33 states/eV/cell.

```
data_Cs2ReAsH
_chemical_formula_sum 'Cs2 Re1 As1 H1'
_symmetry_space_group_name_H-M 'P 4/m m m'
_symmetry_Int_Tables_number 123
_symmetry_space_group_name_Hall '-P 4 2'
_cell_length_a 6.250
_cell_length_b 6.250
_cell_length_c 4.693
_cell_angle_alpha 90.00
_cell_angle_beta 90.00
_cell_angle_gamma 90.00
loop_
_atom_site_label
_atom_site_fract_x
_atom_site_fract_y
_atom_site_fract_z
Cs1 0.000 0.500 0.000
Re1 0.000 0.000 0.000
As1 0.000 0.000 0.500
H1 0.500 0.500 0.500
```